Model one:
Below is Li2AgHAu after structural relaxation, with properties calculated at the PBE-GGA level.

Results
**Fermi-level density of states**: 1.102 states/eV/f.u.
**Magnetic moment**: 0.00 μB/f.u.

```
data_Li2AgHAu
_symmetry_space_group_name_H-M 'P 4/m m m'
_symmetry_Int_Tables_number 123
_symmetry_space_group_name_Hall '-P 4 2'
_cell_length_a 4.1440
_cell_length_b 4.1440
_cell_length_c 3.8363
_cell_angle_alpha 90.00
_cell_angle_beta 90.00
_cell_angle_gamma 90.00
loop_
_atom_site_label
_atom_site_type_symbol
_atom_site_fract_x
_atom_site_fract_y
_atom_site_fract_z
Li1 Li 0.0000 0.5000 0.0000
Ag1 Ag 0.0000 0.0000 0.5000
H1 H 0.0000 0.0000 0.0000
Au1 Au 0.5000 0.5000 0.5000
```

Model two:
Below is Li2AgHAu after structural relaxation, with properties calculated at the PBE-GGA level.

Results
**Fermi-level density of states**: 1.087 states/eV/f.u.
**Magnetic moment**: 0.00 μB/f.u.

```
data_Li2AgHAu
_symmetry_space_group_name_H-M 'P 4/m m m'
_symmetry_Int_Tables_number 123
_symmetry_space_group_name_Hall '-P 4 2'
_cell_length_a 4.2126
_cell_length_b 4.2126
_cell_length_c 3.7459
_cell_angle_alpha 90.00
_cell_angle_beta 90.00
_cell_angle_gamma 90.00
loop_
_atom_site_label
_atom_site_type_symbol
_atom_site_fract_x
_atom_site_fract_y
_atom_site_fract_z
Li1 Li 0.0000 0.5000 0.0000
Ag1 Ag 0.0000 0.0000 0.5000
H1 H 0.5000 0.5000 0.0000
Au1 Au 0.5000 0.5000 0.5000
```

How do the energies compare? Relative to the most stable structure, in eV/atom: model one 0.000; model two 0.015.

Model one:
Below is Na2AgHAu after structural relaxation, with properties calculated at the PBE-GGA level.

Results
**Fermi-level density of states**: 1.941 states/eV/f.u.
**Magnetic moment**: 0.00 μB/f.u.

```
data_Na2AgHAu
_symmetry_space_group_name_H-M 'P 4/m m m'
_symmetry_Int_Tables_number 123
_symmetry_space_group_name_Hall '-P 4 2'
_cell_length_a 5.1424
_cell_length_b 5.1424
_cell_length_c 3.5618
_cell_angle_alpha 90.00
_cell_angle_beta 90.00
_cell_angle_gamma 90.00
loop_
_atom_site_label
_atom_site_type_symbol
_atom_site_fract_x
_atom_site_fract_y
_atom_site_fract_z
Na1 Na 0.0000 0.5000 0.0000
Ag1 Ag 0.0000 0.0000 0.5000
H1 H 0.5000 0.5000 0.0000
Au1 Au 0.5000 0.5000 0.5000
```

Model two:
Below is Na2AgHAu after structural relaxation, with properties calculated at the PBE-GGA level.

Results
**Fermi-level density of states**: 1.008 states/eV/f.u.
**Magnetic moment**: 0.00 μB/f.u.

```
data_Na2AgHAu
_symmetry_space_group_name_H-M 'P 4/m m m'
_symmetry_Int_Tables_number 123
_symmetry_space_group_name_Hall '-P 4 2'
_cell_length_a 5.6368
_cell_length_b 5.6368
_cell_length_c 5.1116
_cell_angle_alpha 90.00
_cell_angle_beta 90.00
_cell_angle_gamma 90.00
loop_
_atom_site_label
_atom_site_type_symbol
_atom_site_fract_x
_atom_site_fract_y
_atom_site_fract_z
Na1 Na 0.0000 0.5000 0.0000
Ag1 Ag 0.0000 0.0000 0.0000
H1 H 0.5000 0.5000 0.5000
Au1 Au 0.0000 0.0000 0.5000
```

How do the energies compare? Relative to the most stable structure, in eV/atom: model one 0.000; model two 0.540.